Entry 1:
! SrCo2P | the Alexandria database | PBE | relaxed; values from VASP
&SYSTEM
  ibrav = 0, nat = 4, ntyp = 3
/
ATOMIC_SPECIES
Sr 87.62 Sr.upf
Co 58.93 Co.upf
P 30.97 P.upf
ATOMIC_POSITIONS crystal
Sr 0.000 0.000 0.000
Co 0.338 0.838 0.500
Co 0.662 0.162 0.500
P 0.500 0.500 0.000
CELL_PARAMETERS angstrom
-1.707 2.729 3.969
1.707 -2.729 3.969
1.707 2.729 -3.969
! Total DFT energy (no corrections) ... -5.265 eV per atom
! Magnetic moment ... 0.10 μB/cell
! E_form ... 0.24 eV/f.u.

=====

Entry 2:
! BaNpSe3S | the Alexandria database | PBE | relaxed; values from VASP
&SYSTEM
  ibrav = 0, nat = 12, ntyp = 4
/
ATOMIC_SPECIES
Ba 137.33 Ba.upf
Np 237.00 Np.upf
Se 78.96 Se.upf
S 32.06 S.upf
ATOMIC_POSITIONS crystal
Ba 0.244 0.250 0.201
Ba 0.756 0.750 0.799
Np 0.188 0.750 0.681
Np 0.812 0.250 0.319
Se 0.064 0.750 0.376
Se 0.162 0.750 0.943
Se 0.433 0.250 0.613
Se 0.567 0.750 0.387
Se 0.838 0.250 0.057
Se 0.936 0.250 0.624
S 0.382 0.250 0.818
S 0.618 0.750 0.182
CELL_PARAMETERS angstrom
8.551 0.000 0.000
0.000 4.197 0.000
-3.461 0.000 9.542
! Total DFT energy (no corrections) ... -6.127 eV per atom
! Energy relative to the elements, uncorrected ... -1220 meV/atom
! Magnetic moment ... 6.00 μB/cell

=====

Look up the magnetic moment of the first one.
0.10 μB/cell

=====

What did the second record say?
! BaNpSe3S | the Alexandria database | PBE | relaxed; values from VASP
&SYSTEM
  ibrav = 0, nat = 12, ntyp = 4
/
ATOMIC_SPECIES
Ba 137.33 Ba.upf
Np 237.00 Np.upf
Se 78.96 Se.upf
S 32.06 S.upf
ATOMIC_POSITIONS crystal
Ba 0.244 0.250 0.201
Ba 0.756 0.750 0.799
Np 0.188 0.750 0.681
Np 0.812 0.250 0.319
Se 0.064 0.750 0.376
Se 0.162 0.750 0.943
Se 0.433 0.250 0.613
Se 0.567 0.750 0.387
Se 0.838 0.250 0.057
Se 0.936 0.250 0.624
S 0.382 0.250 0.818
S 0.618 0.750 0.182
CELL_PARAMETERS angstrom
8.551 0.000 0.000
0.000 4.197 0.000
-3.461 0.000 9.542
! Total DFT energy (no corrections) ... -6.127 eV per atom
! Energy relative to the elements, uncorrected ... -1220 meV/atom
! Magnetic moment ... 6.00 μB/cell

=====

Which value of total DFT energy (no corrections) does entry 1 give?
-5.265 eV per atom